MgMo2As | PBEsol | optimized geometry

Energy above the most stable polymorph in this dataset = 79 meV per atom
DFT formation energy = 0.269 eV/atom
Density = 7.79 g/cm3
Space group = Pmmm (47)

Cell and atoms, written as POSCAR:
```
MgMo2As
1.0
-2.7937 0.0924 -1.8570
0.9325 -3.8824 -1.5959
-2.1932 -1.8452 3.2075
As Mg Mo
1 1 2
Cartesian
-2.4934 -0.8764 0.6752
-0.6303 -2.8638 0.8058
-0.9306 -1.8950 -1.7265
0.0000 0.0000 0.0000
```

Al2AgRh | PBEsol | optimized geometry

DFT formation energy = -0.570 eV/atom
Density = 7.59 g/cm3
Space group = P4/mmm (123)

Cell and atoms, written as POSCAR:
```
Al2AgRh
1.0
-2.5306 0.3862 1.5188
-1.0607 -2.5457 -1.1199
2.5335 -3.2796 5.0553
Al Ag Rh
2 1 1
Cartesian
1.9603 -2.5375 3.9114
0.5733 -0.7421 1.1439
-0.5289 -2.7195 2.7271
-1.7956 -1.0797 0.1994
```

MgCd3B | PBEsol | optimized geometry

DFT formation energy = 1.455 eV/atom
Density = 4.49 g/cm3
Space group = Pm-3m (221)

Cell and atoms, written as POSCAR:
```
MgCd3B
1.0
-2.9589 -0.6934 -4.1757
3.4887 -3.2846 -1.9268
-2.3970 -3.9247 2.3502
B Cd Mg
1 3 1
Cartesian
-0.9336 -3.9513 -1.8761
-1.4795 -0.3467 -2.0878
1.7444 -1.6423 -0.9634
-1.1985 -1.9623 1.1751
0.0000 0.0000 0.0000
```

K2LaSiB | PBEsol | optimized geometry

Density = 2.73 g/cm3
Space group = P4/mmm (123)
Formation energy from raw total energies = 0.816 eV per atom

Cell and atoms, written as POSCAR:
```
K2LaSiB
1.0
3.7264 0.0000 0.0000
0.0000 6.4602 0.0000
0.0000 0.0000 6.4602
K La B Si
2 1 1 1
Cartesian
0.0000 0.0000 3.2301
0.0000 3.2301 0.0000
1.8632 3.2301 3.2301
0.0000 0.0000 0.0000
1.8632 0.0000 0.0000
```

Q: density of number 2 (Al2AgRh)?
A: 7.59 g/cm3